# 1
Computed, not measured: a crystal of KNaSi3 relaxed with PBEsol at the SCAN level of DFT.

Cell: 5.081 5.081 5.081 Å, 90.00 90.00 90.00°
Space group Pm-3m (No. 221)
Inequivalent atoms, fractional coordinates:
K (0.000, 0.000, 0.000) [1 per cell]
Na (0.500, 0.500, 0.500) [1 per cell]
Si (0.000, 0.500, 0.500) [3 per cell]

Summary:
E_form (uncorrected) = 1.231 eV per atom

***

# 2
Computed, not measured: a crystal of K3NaSi relaxed with PBEsol at the SCAN level of DFT.

Cell: 6.488 6.488 6.488 Å, 90.00 90.00 90.00°
Space group Pm-3m (No. 221)
Inequivalent atoms, fractional coordinates:
K (0.000, 0.000, 0.500) [3 per cell]
Na (0.500, 0.500, 0.500) [1 per cell]
Si (0.000, 0.000, 0.000) [1 per cell]

Summary:
E_form (uncorrected) = 0.300 eV per atom

***

# 3
Computed, not measured: a crystal of KNaTlSn2 relaxed with PBEsol at the SCAN level of DFT.

Cell: 5.746 5.746 6.145 Å, 90.00 90.00 90.00°
Space group P4/mmm (No. 123)
Inequivalent atoms, fractional coordinates:
K (0.000, 0.000, 0.000) [1 per cell]
Na (0.500, 0.500, 0.000) [1 per cell]
Tl (0.000, 0.000, 0.500) [1 per cell]
Sn (0.000, 0.500, 0.500) [2 per cell]

Summary:
energy relative to the elements = 1.28 eV per formula unit

***

# 4
Computed, not measured: a crystal of K2NaSr relaxed with PBEsol at the SCAN level of DFT.

Cell: 9.700 9.700 9.700 Å, 90.00 90.00 90.00°
Space group Fm-3m (No. 225)
Inequivalent atoms, fractional coordinates:
K (0.250, 0.250, 0.250) [8 per cell]
Na (0.000, 0.000, 0.000) [4 per cell]
Sr (0.000, 0.000, 0.500) [4 per cell]

Summary:
energy relative to the elements = 0.57 eV per formula unit

***

# 5
Computed, not measured: a crystal of K3NaSr relaxed with PBEsol at the SCAN level of DFT.

Cell: 6.881 6.881 6.881 Å, 90.00 90.00 90.00°
Space group Pm-3m (No. 221)
Inequivalent atoms, fractional coordinates:
K (0.000, 0.000, 0.500) [3 per cell]
Na (0.000, 0.000, 0.000) [1 per cell]
Sr (0.500, 0.500, 0.500) [1 per cell]

Summary:
energy relative to the elements = 1.15 eV per formula unit

***

# 6
Computed, not measured: a crystal of K2Na2Sr relaxed with PBEsol at the SCAN level of DFT.

Cell: 6.411 6.411 12.828 Å, 90.00 90.00 90.00°
Space group I4/mmm (No. 139)
Inequivalent atoms, fractional coordinates:
K (0.000, 0.000, 0.135) [4 per cell]
Na (0.000, 0.500, 0.250) [4 per cell]
Sr (0.000, 0.000, 0.500) [2 per cell]

Summary:
energy relative to the elements = 0.88 eV per formula unit